Entry 1:
CoP2SeO | Alexandria via LeMat-Bulk | PBEsol | relaxed; ΔE_f (raw) = 0.05 eV per atom; calculated volume = 14.1 Å³/atom
1.0
3.428 0.000 0.000
0.000 4.543 0.000
0.000 0.000 4.543
P Co Se O
2 1 1 1
direct
0.000 0.500 0.000
0.000 0.000 0.500
0.000 0.000 0.000
0.500 0.500 0.500
0.500 0.000 0.000


Entry 2:
CoSiP2O | Alexandria via LeMat-Bulk | PBEsol | relaxed; ΔE_f (raw) = 0.07 eV per atom; calculated volume = 13.7 Å³/atom
1.0
-1.879 2.350 -1.001
1.395 -0.746 -4.372
-3.476 -3.031 -0.592
Si P O Co
1 2 1 1
direct
0.000 0.000 0.000
0.000 0.500 0.000
0.000 0.000 0.500
0.500 0.000 0.000
0.500 0.500 0.500